(1)
Computed, not measured: an optimized crystal structure of Li2Ac3S3O2 at the GGA-PBE level of DFT.

Cell: 4.2063 4.2063 13.4279 Å, 99.01 99.01 90.00°
With the nearest neighbours (Å) after each atom.
Fractional positions:
Li 0.7500 0.2500 0.5000  4 O 2.24
Li 0.2500 0.7500 0.5000  4 O 2.24
Ac 0.8636 0.8636 0.7272  1 O 2.20
Ac 0.5000 0.5000 0.0000  6 S 2.97-3.03
Ac 0.1364 0.1364 0.2728  1 O 2.20
S 0.6156 0.6156 0.2313  5 Ac 3.02-3.03
S 0.3844 0.3844 0.7687  5 Ac 3.02-3.03
S 0.0000 0.0000 0.0000  4 Ac 2.97
O 0.7797 0.7797 0.5593  1 Ac 2.20, 4 Li 2.24
O 0.2203 0.2203 0.4407  1 Ac 2.20, 4 Li 2.24

Output
* formation energy without anion corrections: -21.36 eV per formula unit
* space-group type: I4/mmm (139)
* D(E_F): 0.250 states/eV/atom
* energy: -59.8 eV/cell

=====

(2)
Computed, not measured: an optimized crystal structure of Li2AcSO8 at the GGA-PBE level of DFT.

Cell: 4.9970 4.9970 6.6288 Å, 90.00 90.00 120.00°
With the nearest neighbours (Å) after each atom.
Fractional positions:
Li 0.6667 0.3333 0.0533  3 O 2.04
Li 0.3333 0.6667 0.9467  3 O 2.04
Ac 0.0000 0.0000 0.5000  12 O 2.71-2.91
S 0.0000 0.0000 0.0000  6 O 1.63
O 0.8468 0.6937 0.8560  1 S 1.63
O 0.3063 0.1532 0.8560  1 S 1.63
O 0.8468 0.1532 0.8560  1 S 1.63
O 0.1532 0.3063 0.1440  1 S 1.63
O 0.6937 0.8468 0.1440  1 S 1.63
O 0.1532 0.8468 0.1440  1 S 1.63
O 0.6667 0.3333 0.4465  1 Li 2.61, 3 Ac 2.91
O 0.3333 0.6667 0.5535  1 Li 2.61, 3 Ac 2.91

Output
* formation energy without anion corrections: -13.42 eV per formula unit
* space-group type: P-3m1 (164)
* D(E_F): 0.527 states/eV/atom
* energy: -65.1 eV/cell

=====

(3)
Computed, not measured: an optimized crystal structure of LiAcS2O6 at the GGA-PBE level of DFT.

Cell: 5.2283 5.2283 6.3717 Å, 65.78 65.78 60.00°
With the nearest neighbours (Å) after each atom.
Fractional positions:
Li 0.5000 0.5000 0.5000  6 O 2.20
Ac 0.0000 0.0000 0.0000  6 O 2.64
S 0.7888 0.7888 0.6335  3 O 1.55
S 0.2112 0.2112 0.3665  3 O 1.55
O 0.0510 0.5253 0.7456  1 S 1.55
O 0.6780 0.0510 0.7456  1 S 1.55
O 0.4747 0.3220 0.2544  1 S 1.55
O 0.9490 0.4747 0.2544  1 S 1.55
O 0.3220 0.9490 0.2544  1 S 1.55
O 0.5253 0.6780 0.7456  1 S 1.55

Output
* formation energy without anion corrections: -20.15 eV per formula unit
* space-group type: R-3 (148)
* D(E_F): 0.000 states/eV/atom
* energy: -64.2 eV/cell

=====

(4)
Computed, not measured: an optimized crystal structure of LiAcSO5 at the GGA-PBE level of DFT.

Cell: 6.1848 6.1848 8.5688 Å, 110.95 110.95 88.71°
With the nearest neighbours (Å) after each atom.
Fractional positions:
Li 0.3232 0.6768 0.2500  3 O 1.82-2.04
Li 0.6768 0.3232 0.7500  3 O 1.82-2.04
Ac 0.0000 0.0000 0.5000  4 O 2.35-2.60
Ac 0.0000 0.0000 0.0000  4 O 2.35-2.60
S 0.6212 0.3788 0.2500  4 O 1.48-1.50
S 0.3788 0.6212 0.7500  4 O 1.48-1.50
O 0.1126 0.8874 0.2500  1 Li 1.82
O 0.8874 0.1126 0.7500  1 Li 1.82
O 0.7211 0.2833 0.1091  1 S 1.48
O 0.2789 0.7167 0.8909  1 S 1.48
O 0.7167 0.2789 0.3909  1 S 1.48
O 0.2833 0.7211 0.6091  1 S 1.48
O 0.6701 0.6401 0.3323  1 S 1.50
O 0.3299 0.3599 0.6677  1 S 1.50
O 0.3599 0.3299 0.1677  1 S 1.50
O 0.6401 0.6701 0.8323  1 S 1.50

Output
* formation energy without anion corrections: -17.74 eV per formula unit
* space-group type: C2/c (15)
* D(E_F): 0.000 states/eV/atom
* energy: -105.4 eV/cell

=====

(5)
Computed, not measured: an optimized crystal structure of LiAcSO6 at the GGA-PBE level of DFT.

Cell: 5.1250 5.1250 5.0500 Å, 90.01 89.99 59.98°
With the nearest neighbours (Å) after each atom.
Fractional positions:
Li 0.6666 0.6666 0.5000  6 O 2.10
Ac 0.0000 0.0000 0.9999  6 O 2.51
S 0.3333 0.3333 0.5000  6 O 1.65
O 0.0641 0.3471 0.3109  1 S 1.65
O 0.3472 0.0641 0.6891  1 S 1.65
O 0.5886 0.3474 0.6891  1 S 1.65
O 0.0637 0.5890 0.6889  1 S 1.65
O 0.3473 0.5887 0.3109  1 S 1.65
O 0.5890 0.0638 0.3111  1 S 1.65

Output
* formation energy without anion corrections: -14.26 eV per formula unit
* space-group type: P312 (149)
* D(E_F): 0.596 states/eV/atom
* energy: -54.2 eV/cell

=====

(6)
Computed, not measured: an optimized crystal structure of LiAc2SO8 at the GGA-PBE level of DFT.

Cell: 5.3631 5.3631 6.6420 Å, 90.00 90.00 120.00°
With the nearest neighbours (Å) after each atom.
Fractional positions:
Li 0.0000 0.0000 0.5000  6 O 2.73
Ac 0.6667 0.3333 0.1814  1 O 2.29
Ac 0.3333 0.6667 0.8186  1 O 2.29
S 0.0000 0.0000 0.0000  6 O 1.68
O 0.8521 0.7043 0.8550  1 S 1.68
O 0.2957 0.1479 0.8550  1 S 1.68
O 0.8521 0.1479 0.8550  1 S 1.68
O 0.1479 0.2957 0.1450  1 S 1.68
O 0.7043 0.8521 0.1450  1 S 1.68
O 0.1479 0.8521 0.1450  1 S 1.68
O 0.6667 0.3333 0.5258  1 Ac 2.29
O 0.3333 0.6667 0.4742  1 Ac 2.29

Output
* formation energy without anion corrections: -19.57 eV per formula unit
* space-group type: P-3m1 (164)
* D(E_F): 0.457 states/eV/atom
* energy: -73.5 eV/cell

=====

(7)
Computed, not measured: an optimized crystal structure of Li2AcSO5 at the GGA-PBE level of DFT.

Cell: 6.9986 6.9986 7.0974 Å, 119.54 119.54 90.00°
With the nearest neighbours (Å) after each atom.
Fractional positions:
Li 0.2800 0.2200 0.0000  2 O 1.89
Li 0.7800 0.2800 0.0000  2 O 1.89
Li 0.2200 0.7200 0.0000  2 O 1.89
Li 0.7200 0.7800 0.0000  2 O 1.89
Ac 0.2500 0.2500 0.5000  10 O 2.54-2.82
Ac 0.7500 0.7500 0.5000  10 O 2.54-2.82
S 0.2500 0.7500 0.5000  4 O 1.62
S 0.7500 0.2500 0.5000  4 O 1.62
O 0.0287 0.5287 0.3384  1 S 1.62
O 0.6903 0.1903 0.6616  1 S 1.62
O 0.9713 0.4713 0.6616  1 S 1.62
O 0.1903 0.9713 0.6616  1 S 1.62
O 0.4713 0.6903 0.6616  1 S 1.62
O 0.8097 0.0287 0.3384  1 S 1.62
O 0.5287 0.3097 0.3384  1 S 1.62
O 0.3097 0.8097 0.3384  1 S 1.62
O 0.5000 0.5000 0.0000  4 Li 2.49, 2 Ac 2.54
O 0.0000 0.0000 0.0000  4 Li 2.49, 2 Ac 2.54

Output
* formation energy without anion corrections: -16.03 eV per formula unit
* space-group type: I4/mcm (140)
* D(E_F): 0.303 states/eV/atom
* energy: -105.8 eV/cell

=====

(8)
Computed, not measured: an optimized crystal structure of LiAcSb2O8 at the GGA-PBE level of DFT.

Cell: 5.2652 5.2631 6.3768 Å, 90.00 90.00 85.09°
With the nearest neighbours (Å) after each atom.
Fractional positions:
Li 0.0000 0.0000 0.0000  4 O 2.16
Ac 0.0000 0.0000 0.5000  6 O 2.38-2.58
Sb 0.5000 0.5000 0.7541  6 O 1.96-2.07
Sb 0.5000 0.5000 0.2459  6 O 1.96-2.07
O 0.2254 0.7735 0.2255  1 Sb 1.96, 1 Li 2.16
O 0.6741 0.6749 0.0000  2 Sb 2.07
O 0.7746 0.2265 0.2255  1 Sb 1.96, 1 Li 2.16
O 0.7746 0.2265 0.7745  1 Sb 1.96, 1 Li 2.16
O 0.3259 0.3251 0.0000  2 Sb 2.07
O 0.2254 0.7735 0.7745  1 Sb 1.96, 1 Li 2.16
O 0.6662 0.6674 0.5000  2 Sb 2.07
O 0.3338 0.3326 0.5000  2 Sb 2.07

Output
* formation energy without anion corrections: -19.05 eV per formula unit
* space-group type: Cmmm (65)
* D(E_F): 0.405 states/eV/atom
* energy: -73.0 eV/cell

=====

(9)
Computed, not measured: an optimized crystal structure of LiAcSbO5 at the GGA-PBE level of DFT.

Cell: 5.8401 5.8401 7.2239 Å, 97.39 97.39 113.67°
With the nearest neighbours (Å) after each atom.
Fractional positions:
Li 0.6775 0.3225 0.2500  4 O 1.92-2.07
Li 0.3225 0.6775 0.7500  4 O 1.92-2.07
Ac 0.3495 0.6505 0.2500  7 O 2.56-2.81
Ac 0.6505 0.3495 0.7500  7 O 2.56-2.81
Sb 0.0000 0.0000 0.5000  6 O 1.99-2.02
Sb 0.0000 0.0000 0.0000  6 O 1.99-2.02
O 0.0859 0.9141 0.2500  2 Sb 1.99
O 0.9141 0.0859 0.7500  2 Sb 1.99
O 0.9129 0.2869 0.0985  1 Li 1.92, 1 Sb 2.01
O 0.0871 0.7131 0.9015  1 Li 1.92, 1 Sb 2.01
O 0.7131 0.0871 0.4015  1 Li 1.92, 1 Sb 2.01
O 0.2869 0.9129 0.5985  1 Li 1.92, 1 Sb 2.01
O 0.7444 0.6331 0.4591  1 Sb 2.02, 1 Li 2.07
O 0.2556 0.3669 0.5409  1 Sb 2.02, 1 Li 2.07
O 0.3669 0.2556 0.0409  1 Sb 2.02, 1 Li 2.07
O 0.6331 0.7444 0.9591  1 Sb 2.02, 1 Li 2.07

Output
* formation energy without anion corrections: -16.27 eV per formula unit
* space-group type: C2/c (15)
* D(E_F): 0.587 states/eV/atom
* energy: -102.4 eV/cell

=====

(10)
Computed, not measured: an optimized crystal structure of Li4AcSb3O12 at the GGA-PBE level of DFT.

Cell: 6.8757 6.8757 6.8757 Å, 107.87 107.87 107.87°
With the nearest neighbours (Å) after each atom.
Fractional positions:
Li 0.9274 0.0726 0.5000  3 O 1.89-1.90
Li 0.0726 0.5000 0.9274  3 O 1.89-1.90
Li 0.5000 0.9274 0.0726  3 O 1.89-1.90
Li 0.5000 0.5000 0.5000  3 O 1.89
Ac 0.0000 0.0000 0.0000  6 O 2.57
Sb 0.5630 0.4370 0.0000  6 O 1.96-2.07
Sb 0.4370 0.0000 0.5630  6 O 1.96-2.07
Sb 0.0000 0.5630 0.4370  6 O 1.96-2.07
O 0.5000 0.3303 0.6697  1 Li 1.89, 2 Sb 2.02
O 0.9017 0.5000 0.0983  1 Li 1.90, 2 Sb 2.07
O 0.0983 0.9017 0.5000  1 Li 1.90, 2 Sb 2.07
O 0.5000 0.0983 0.9017  1 Li 1.90, 2 Sb 2.07
O 0.3386 0.9623 0.2486  1 Li 1.89, 1 Sb 1.96
O 0.2486 0.3386 0.9623  1 Li 1.89, 1 Sb 1.96
O 0.9623 0.2486 0.3386  1 Li 1.89, 1 Sb 1.96
O 0.6614 0.7514 0.0377  1 Li 1.89, 1 Sb 1.96
O 0.0377 0.6614 0.7514  1 Li 1.89, 1 Sb 1.96
O 0.7514 0.0377 0.6614  1 Li 1.89, 1 Sb 1.96
O 0.6697 0.5000 0.3303  1 Li 1.89, 2 Sb 2.02
O 0.3303 0.6697 0.5000  1 Li 1.89, 2 Sb 2.02

Output
* formation energy without anion corrections: -34.66 eV per formula unit
* space-group type: R32 (155)
* D(E_F): 0.466 states/eV/atom
* energy: -118.3 eV/cell

=====

(11)
Computed, not measured: an optimized crystal structure of LiAcSbO at the GGA-PBE level of DFT.

Cell: 4.1722 4.1741 6.2906 Å, 90.02 90.00 119.99°
With the nearest neighbours (Å) after each atom.
Fractional positions:
Li 0.2386 0.4772 0.9398  1 O 1.90
Ac 0.5719 0.1437 0.3229  3 O 2.46
Sb 0.9053 0.8106 0.7354  3 Li 2.73
O 0.2386 0.4772 0.2411  1 Li 1.90

Output
* formation energy without anion corrections: -6.76 eV per formula unit
* space-group type: P3m1 (156)
* D(E_F): 0.292 states/eV/atom
* energy: -21.9 eV/cell

=====

(12)
Computed, not measured: an optimized crystal structure of LiAc2SbO6 at the GGA-PBE level of DFT.

Cell: 5.8269 5.7300 5.7757 Å, 119.74 120.13 90.00°
With the nearest neighbours (Å) after each atom.
Fractional positions:
Li 0.5000 0.0000 0.0000  6 O 2.14-2.18
Ac 0.2427 0.2505 0.5010  5 O 2.50-2.64
Ac 0.7573 0.7495 0.4990  5 O 2.50-2.64
Sb 0.0000 0.5000 0.0000  6 O 2.01
O 0.3174 0.7389 0.4779  1 Sb 2.01, 1 Li 2.18
O 0.1959 0.2120 0.9129  1 Sb 2.01, 1 Li 2.14
O 0.8041 0.2990 0.0871  1 Sb 2.01, 1 Li 2.14
O 0.1959 0.7010 0.9129  1 Sb 2.01, 1 Li 2.14
O 0.8041 0.7880 0.0871  1 Sb 2.01, 1 Li 2.14
O 0.6826 0.2611 0.5221  1 Sb 2.01, 1 Li 2.18

Output
* formation energy without anion corrections: -26.18 eV per formula unit
* space-group type: C2/m (12)
* D(E_F): 0.000 states/eV/atom
* energy: -70.2 eV/cell

=====

| no. | M_tot (μB per formula unit) |
| --- | --- |
| 1 | 0.0 |
| 2 | 4.9 |
| 3 | 0.0 |
| 4 | 0.0 |
| 5 | 2.0 |
| 6 | 3.0 |
| 7 | 0.7 |
| 8 | 2.0 |
| 9 | 1.0 |
| 10 | 2.1 |
| 11 | 0.0 |
| 12 | 0.0 |